Entry 1:
A relaxed Tb3Ho2S6 crystal, computed with GGA-PBE.

Results
- volume (Å³/atom) = 22.87
- size of the total moment (Bohr magnetons per cell) = 0.0
- crystal system = monoclinic
- N(E_F) (states/eV/f.u.) = 4.03
- SG = C2/m
- formation energy (no corrections) (eV/atom) = -2.07

Geometry as CIF:
```
data_Tb3Ho2S6
_symmetry_space_group_name_H-M 'P 1'
_symmetry_Int_Tables_number 1
_cell_length_a 6.779
_cell_length_b 6.761
_cell_length_c 6.732
_cell_angle_alpha 80.35
_cell_angle_beta 70.47
_cell_angle_gamma 59.91
loop_
_symmetry_equiv_pos_as_xyz
'x,y,z'
loop_
_atom_site_label
_atom_site_type_symbol
_atom_site_fract_x
_atom_site_fract_y
_atom_site_fract_z
Tb1 Tb 0.000 0.000 0.000
Tb2 Tb 0.337 0.325 0.000
Tb3 Tb 0.663 0.675 0.000
Ho1 Ho 0.166 0.669 0.500
Ho2 Ho 0.834 0.331 0.500
S1 S 0.417 0.665 0.748
S2 S 0.752 0.000 0.742
S3 S 0.083 0.335 0.748
S4 S 0.248 0.000 0.258
S5 S 0.583 0.335 0.252
S6 S 0.917 0.665 0.252
```


Entry 2:
A relaxed Tb4HoS7 crystal, computed with GGA-PBE.

Results
- volume (Å³/atom) = 23.13
- size of the total moment (Bohr magnetons per cell) = 0.0
- crystal system = monoclinic
- N(E_F) (states/eV/f.u.) = 1.31
- SG = Cm
- formation energy (no corrections) (eV/atom) = -2.08

Geometry as CIF:
```
data_Tb4HoS7
_symmetry_space_group_name_H-M 'P 1'
_symmetry_Int_Tables_number 1
_cell_length_a 3.823
_cell_length_b 6.727
_cell_length_c 11.639
_cell_angle_alpha 104.09
_cell_angle_beta 90.00
_cell_angle_gamma 106.51
loop_
_symmetry_equiv_pos_as_xyz
'x,y,z'
loop_
_atom_site_label
_atom_site_type_symbol
_atom_site_fract_x
_atom_site_fract_y
_atom_site_fract_z
Tb1 Tb 0.700 0.399 0.811
Tb2 Tb 0.300 0.601 0.189
Tb3 Tb 0.000 0.000 0.999
Tb4 Tb 0.112 0.223 0.422
Ho1 Ho 0.888 0.776 0.579
S1 S 0.741 0.483 0.354
S2 S 0.261 0.522 0.647
S3 S 0.340 0.681 0.949
S4 S 0.659 0.319 0.051
S5 S 0.041 0.082 0.783
S6 S 0.959 0.917 0.215
S7 S 0.499 0.998 0.501
```